Computed, not measured: a relaxed structure of TaIn2FeF at the PBE+U level of DFT.

Geometry as CIF:
```
data_TaIn2FeF
_chemical_formula_sum 'Ta1 In2 Fe1 F1'
_cell_length_a 5.438
_cell_length_b 5.438
_cell_length_c 3.535
_cell_angle_alpha 90.00
_cell_angle_beta 90.00
_cell_angle_gamma 90.00
_symmetry_space_group_name_H-M 'P 1'
_symmetry_Int_Tables_number 1
_symmetry_space_group_name_Hall 'P 1'
loop_
_atom_site_label
_atom_site_fract_x
_atom_site_fract_y
_atom_site_fract_z
Ta1 0.000 0.000 0.000
In1 0.000 0.500 0.500
In2 0.500 0.000 0.500
Fe1 0.500 0.500 0.500
F1 0.500 0.500 0.000
```

Values from the calculation:
Calculated volume: 105 Å³ per cell
Total energy: -4.740 eV per atom
ρ: 7.710 g/cm3